No. 1
The following is a PBE calculation of crystalline LiNdIn2 at its relaxed geometry, from Alexandria via LeMat-Bulk.

Computed properties:
For the energy of formation, the calculation gives -0.443 eV per atom. Its final energy is -27.863 eV per cell. As for the symmetry: Cmcm (63).

extended XYZ file:
```
8
Lattice="4.9298 -0.0027 0.0019 0.0044 6.1557 -2.5690 -0.0027 -0.3164 6.6627" Properties=species:S:1:pos:R:3 pbc="T T T"
Nd 1.2357 5.1194 -1.0914
In 3.6979 3.6872 3.7766
In 1.2335 2.1493 0.3190
Nd 3.6957 0.7171 5.1870
In 1.2343 4.8061 2.1816
Li 3.6992 3.8541 0.7124
In 3.6972 1.0304 1.9140
Li 1.2322 1.9824 3.3833
```

=====

No. 2
The following is a PBE calculation of crystalline Hf2Cd7 at its relaxed geometry, from Alexandria via LeMat-Bulk.

Computed properties:
For the energy of formation, the calculation gives 0.062 eV per atom. Its final energy is -25.759 eV per cell. As for the symmetry: P-31m (162).

extended XYZ file:
```
9
Lattice="5.5149 0.0000 0.0000 -2.7574 4.7760 0.0000 0.0000 0.0000 7.5291" Properties=species:S:1:pos:R:3 pbc="T T T"
Hf 2.7574 1.5920 0.0000
Cd 1.8359 0.0000 5.0415
Hf 0.0000 3.1840 0.0000
Cd -0.9180 1.5899 5.0415
Cd -1.8395 3.1861 2.4876
Cd 1.8395 3.1861 5.0415
Cd 3.6790 0.0000 2.4876
Cd 0.0000 0.0000 0.0000
Cd 0.9180 1.5899 2.4876
```

=====

No. 3
The following is a PBE calculation of crystalline Cs2MnPbCl6 at its relaxed geometry, from Alexandria via LeMat-Bulk.

Computed properties:
Its final energy is -40.754 eV per cell. As for the symmetry: Fm-3m (225). As for the formation energy from raw total energies: -1509.0 meV per atom.

extended XYZ file:
```
10
Lattice="-2.9909 -6.8151 1.8249 6.8535 -2.3359 2.5090 0.7462 -2.7282 7.1238" Properties=species:S:1:pos:R:3 pbc="T T T"
Cl 3.2327 -8.1692 6.9683
Cs 4.7655 -4.8198 5.8999
Mn 1.9313 -4.5755 2.1670
Cs -0.1567 -7.0594 5.5578
Cl 4.2366 -3.5266 2.3272
Cl 1.3760 -3.7100 4.4894
Cl 2.8358 -6.7184 3.1819
Cl -0.3740 -5.6244 2.0068
Cl 1.0268 -2.4326 1.1521
Pb 0.0000 0.0000 0.0000
```

=====

No. 4
The following is a PBE calculation of crystalline ReSnAsSe2 at its relaxed geometry, from Alexandria via LeMat-Bulk.

Computed properties:
The excess energy over the best structure of this formula in the dataset is 0.000 eV/atom. Its final energy is -25.865 eV per cell. As for the symmetry: P4/mmm (123). As for the formation energy from raw total energies: 440.9 meV per atom.

extended XYZ file:
```
5
Lattice="-4.7289 -1.6755 -0.6384 1.0469 -4.0421 2.8536 -1.3608 2.3708 3.8575" Properties=species:S:1:pos:R:3 pbc="T T T"
As -0.6804 1.1854 1.9288
Re 0.0000 0.0000 0.0000
Se -2.3645 -0.8377 -0.3192
Sn -2.5214 -1.6734 3.0363
Se 0.5235 -2.0210 1.4268
```

=====

No. 5
The following is a PBE calculation of crystalline CsLaBr2F at its relaxed geometry, from Alexandria via LeMat-Bulk.

Computed properties:
Its final energy is -22.031 eV per cell. As for the symmetry: P4/mmm (123). As for the formation energy from raw total energies: -2206.6 meV per atom.

extended XYZ file:
```
5
Lattice="-5.4511 -2.7045 -0.7271 1.0578 -0.5151 -6.0144 1.9848 -4.1909 0.7080" Properties=species:S:1:pos:R:3 pbc="T T T"
La 0.0000 0.0000 0.0000
F 0.9924 -2.0955 0.3540
Br -2.7256 -1.3522 -0.3636
Br 0.5289 -0.2575 -3.0072
Cs -1.2043 -3.7052 -3.0168
```

=====

No. 6
The following is a PBE calculation of crystalline Al3AsCl at its relaxed geometry, from Alexandria via LeMat-Bulk.

Computed properties:
The excess energy over the best structure of this formula in the dataset is 0.253 eV/atom. Its final energy is -14.287 eV per cell. As for the symmetry: Pm-3m (221). As for the formation energy from raw total energies: 687.4 meV per atom.

extended XYZ file:
```
5
Lattice="4.9477 0.0000 0.0000 0.0000 4.9477 0.0000 0.0000 0.0000 4.9477" Properties=species:S:1:pos:R:3 pbc="T T T"
Cl 0.0000 0.0000 0.0000
Al 2.4739 0.0000 0.0000
Al 0.0000 2.4739 0.0000
As 2.4739 2.4739 2.4739
Al 0.0000 0.0000 2.4739
```